TaAs2Pb | PBE | optimized geometry

Cell and atoms, written as POSCAR:
```
TaAs2Pb
1.0
-1.6410 2.8947 4.9355
1.6410 -2.8947 4.9355
1.6410 2.8947 -4.9355
Ta As Pb
1 2 1
direct
0.0000 0.0000 0.0000 Ta
0.2015 0.7015 0.5000 As
0.7985 0.2985 0.5000 As
0.5000 0.5000 0.0000 Pb
```

Raw total energy = -23.8 eV/cell
M_tot = 0.00 Bohr magnetons per cell
Energy of formation from the pure elements = 26 kJ per mole of atoms
Symmetry = Immm (71)
N(E_F) = 0.64 states/eV per atom
Crystal system = orthorhombic

TaAs2Pb | PBE | optimized geometry

Cell and atoms, written as POSCAR:
```
TaAs2Pb
1.0
1.6760 0.9676 9.4606
-1.6760 0.9676 9.4606
0.0000 -1.9352 9.4606
Ta As Pb
1 2 1
direct
0.0000 0.0000 0.0000 Ta
0.2701 0.2701 0.2701 As
0.7299 0.7299 0.7299 As
0.5000 0.5000 0.5000 Pb
```

Raw total energy = -25.4 eV/cell
M_tot = 0.00 Bohr magnetons per cell
Energy of formation from the pure elements = -13 kJ per mole of atoms
Symmetry = R-3m (166)
N(E_F) = 0.41 states/eV per atom
Crystal system = trigonal

TaAs2Pb | PBE | optimized geometry

Cell and atoms, written as POSCAR:
```
TaAs2Pb
1.0
3.3597 0.0000 0.0000
0.0000 3.3480 0.0000
-0.0769 0.0000 7.4580
Ta As Pb
1 2 1
direct
0.0000 0.0000 0.0000 Ta
0.4949 0.5000 0.8111 As
0.5051 0.5000 0.1889 As
0.0000 0.0000 0.5000 Pb
```

Raw total energy = -25.3 eV/cell
M_tot = 0.00 Bohr magnetons per cell
Energy of formation from the pure elements = -11 kJ per mole of atoms
Symmetry = P2/m (10)
N(E_F) = 0.73 states/eV per atom
Crystal system = monoclinic

TaAs2Pb | PBE | optimized geometry

Cell and atoms, written as POSCAR:
```
TaAs2Pb
1.0
0.0000 3.4643 3.4643
3.4643 0.0000 3.4643
3.4643 3.4643 0.0000
Ta As Pb
1 2 1
direct
0.0000 0.0000 0.0000 Ta
0.5000 0.5000 0.5000 As
0.7500 0.7500 0.7500 As
0.2500 0.2500 0.2500 Pb
```

Raw total energy = -22.0 eV/cell
M_tot = 0.09 Bohr magnetons per cell
Energy of formation from the pure elements = 68 kJ per mole of atoms
Symmetry = F-43m (216)
N(E_F) = 1.02 states/eV per atom
Crystal system = cubic